Record 1
A relaxed structure of HgMoSe2, computed with PBE-GGA.

It has space group R-3m (No. 166, hexagonal axes), with a = 3.3002 Å, b = 3.3002 Å, c = 31.6964 Å, α = 90.00°, β = 90.00° and γ = 120.00°. The inequivalent atoms are Hg at (0.0000, 0.0000, 0.0000), Mo at (0.0000, 0.0000, 0.5000) and Se at (0.0000, 0.0000, 0.1125).

The formation energy without anion corrections is -0.324 eV per atom. The value obtained for the total energy is -4.849 eV/atom.

Record 2
A relaxed structure of LiScSb2, computed with PBE-GGA.

It has space group P4/nmm (No. 129, origin choice 2), with a = 4.222 Å, b = 4.222 Å, c = 10.061 Å, α = 90.00°, β = 90.00° and γ = 90.00°. The inequivalent atoms are Li at (0.250, 0.750, 0.000), Sc at (0.250, 0.250, 0.271), Sb at (0.250, 0.250, 0.820) and Sb at (0.250, 0.750, 0.500).

The relative energy among the computed polymorphs comes out at 0 meV/atom. The formation energy without anion corrections is -0.630 eV per atom. The value obtained for the total energy is -4.752 eV/atom.

Record 3
A relaxed structure of Tl2Ag2Pd, computed with PBE-GGA.

It has space group P4/mbm (No. 127), with a = 7.217 Å, b = 7.217 Å, c = 4.266 Å, α = 90.00°, β = 90.00° and γ = 90.00°. The inequivalent atoms are Tl at (0.175, 0.325, 0.000), Ag at (0.136, 0.636, 0.500) and Pd at (0.000, 0.000, 0.500).

The relative energy among the computed polymorphs comes out at 0 meV/atom. Its formation energy is 0.169 eV/atom. The value obtained for the total energy is -2.956 eV/atom.

Record 4
A relaxed structure of CsHoOs2O8, computed with PBE-GGA.

It has space group P-3 (No. 147), with a = 6.0145 Å, b = 6.0145 Å, c = 8.5348 Å, α = 90.00°, β = 90.00° and γ = 120.00°. The inequivalent atoms are Cs at (0.0000, 0.0000, 0.0000), Ho at (0.0000, 0.0000, 0.5000), Os at (0.3333, 0.6667, 0.7323), O at (0.1504, 0.3387, 0.6603) and O at (0.3333, 0.6667, 0.9398).

The formation energy without anion corrections is -1.570 eV per atom. The value obtained for the total energy is -7.200 eV/atom.

Record 5
A relaxed structure of LiLaCd4In2, computed with PBE-GGA.

It has space group R-3m (No. 166, hexagonal axes), with a = 5.0114 Å, b = 5.0114 Å, c = 26.3853 Å, α = 90.00°, β = 90.00° and γ = 120.00°. The inequivalent atoms are Li at (0.0000, 0.0000, 0.0000), La at (0.0000, 0.0000, 0.5000), Cd at (0.0000, 0.0000, 0.1089), Cd at (0.0000, 0.0000, 0.3662) and In at (0.0000, 0.0000, 0.2486).

Its formation energy is -0.253 eV/atom. The value obtained for the total energy is -2.250 eV/atom.

Record 6
A relaxed structure of ScCrMo2, computed with PBE-GGA.

It has space group Cmmm (No. 65), with a = 5.207 Å, b = 9.276 Å, c = 2.663 Å, α = 90.00°, β = 90.00° and γ = 90.00°. The inequivalent atoms are Sc at (0.000, 0.000, 0.000), Cr at (0.000, 0.500, 0.000) and Mo at (0.250, 0.250, 0.500).

The relative energy among the computed polymorphs comes out at 257 meV/atom. Its formation energy is 0.381 eV/atom. The value obtained for the total energy is -9.023 eV/atom.

Record 7
A relaxed structure of NaRu2O6, computed with PBE-GGA.

It has space group P-31m (No. 162), with a = 5.2870 Å, b = 5.2870 Å, c = 5.0172 Å, α = 90.00°, β = 90.00° and γ = 120.00°. The inequivalent atoms are Na at (0.0000, 0.0000, 0.0000), Ru at (0.3333, 0.6667, 0.5000) and O at (0.0000, 0.3864, 0.7052).

The formation energy without anion corrections is -1.006 eV per atom. The value obtained for the total energy is -6.520 eV/atom.

Record 8
A relaxed structure of Ac2SnF, computed with PBE-GGA.

It has space group P3_121 (No. 152), with a = 7.6024 Å, b = 7.6024 Å, c = 8.2275 Å, α = 90.00°, β = 90.00° and γ = 120.00°. The inequivalent atoms are Ac at (0.1005, 0.3729, 0.3941), Sn at (0.0000, 0.6291, 0.6667) and F at (0.0000, 0.5492, 0.1667).

The relative energy among the computed polymorphs comes out at 0 meV/atom. The formation energy without anion corrections is -1.522 eV per atom. The value obtained for the total energy is -5.045 eV/atom.

Record 9
A relaxed structure of SiTcMo, computed with PBE-GGA.

It has space group I4mm (No. 107), with a = 2.998 Å, b = 2.998 Å, c = 9.346 Å, α = 90.00°, β = 90.00° and γ = 90.00°. The inequivalent atoms are Si at (0.000, 0.000, 0.000), Tc at (0.000, 0.000, 0.350) and Mo at (0.000, 0.000, 0.671).

The relative energy among the computed polymorphs comes out at 54 meV/atom. The formation energy without anion corrections is -0.319 eV per atom. The value obtained for the total energy is -9.192 eV/atom.

Record 10
A relaxed structure of Y2CrRe, computed with PBE-GGA.

It has space group R3m (No. 160, hexagonal axes), with a = 3.2908 Å, b = 3.2908 Å, c = 28.3888 Å, α = 90.00°, β = 90.00° and γ = 120.00°. The inequivalent atoms are Y at (0.0000, 0.0000, 0.0000), Y at (0.0000, 0.0000, 0.2192), Cr at (0.0000, 0.0000, 0.7499) and Re at (0.0000, 0.0000, 0.4680).

The relative energy among the computed polymorphs comes out at 352 meV/atom. Its formation energy is 0.523 eV/atom. The value obtained for the total energy is -8.227 eV/atom.

Record 11
A relaxed structure of Dy2RuC2, computed with PBE-GGA.

It has space group Pnma (No. 62), with a = 6.467 Å, b = 5.115 Å, c = 9.785 Å, α = 90.00°, β = 90.00° and γ = 90.00°. The inequivalent atoms are Dy at (0.026, 0.250, 0.216), Dy at (0.178, 0.250, 0.554), Ru at (0.221, 0.250, 0.865), C at (0.043, 0.750, 0.243) and C at (0.175, 0.750, 0.553).

The relative energy among the computed polymorphs comes out at 0 meV/atom. Its formation energy is -0.334 eV/atom. The value obtained for the total energy is -7.719 eV/atom.

Record 12
A relaxed structure of ZnNi2IrOs, computed with PBE-GGA.

It has space group P4/mmm (No. 123), with a = 4.393 Å, b = 4.393 Å, c = 4.649 Å, α = 90.00°, β = 90.00° and γ = 90.00°. The inequivalent atoms are Zn at (0.000, 0.000, 0.000), Ni at (0.000, 0.500, 0.500), Ir at (0.500, 0.500, 0.000) and Os at (0.000, 0.000, 0.500).

Its formation energy is 1.645 eV/atom. The value obtained for the total energy is -4.941 eV/atom.